Model i:
Material: HfCuBPt
Method: DFT, GGA-PBE
State: optimized geometry

Unit cell a=5.9844 b=5.9844 c=5.9844 alpha=90.00 beta=90.00 gamma=90.00
Closest atoms and distances in Å follow each position.
Space group F-43m (No. 216)
Symmetry-distinct sites (fractional):
Hf  0.0000  0.0000  0.0000 x4  4 B 2.59, 4 Cu 2.59
Cu  0.2500  0.2500  0.2500 x4  4 Hf 2.59, 4 Pt 2.59
B  0.2500  0.2500  0.7500 x4  4 Hf 2.59, 4 Pt 2.59
Pt  0.0000  0.0000  0.5000 x4  4 Cu 2.59, 4 B 2.59

Results
- crystal system = cubic

=====

Model ii:
Material: HfCuBPt
Method: DFT, GGA-PBE
State: optimized geometry

Unit cell a=6.1113 b=6.1113 c=6.1113 alpha=90.00 beta=90.00 gamma=90.00
Closest atoms and distances in Å follow each position.
Space group F-43m (No. 216)
Symmetry-distinct sites (fractional):
Hf  0.0000  0.0000  0.0000 x4  4 B 2.65, 4 Pt 2.65
Cu  0.0000  0.0000  0.5000 x4  4 Pt 2.65, 4 B 2.65
B  0.2500  0.2500  0.2500 x4  4 Cu 2.65, 4 Hf 2.65
Pt  0.2500  0.2500  0.7500 x4  4 Hf 2.65, 4 Cu 2.65

Results
- crystal system = cubic

=====

Model iii:
Material: HfCuBPt
Method: DFT, GGA-PBE
State: optimized geometry

Unit cell a=6.0860 b=6.0860 c=6.0860 alpha=90.00 beta=90.00 gamma=90.00
Closest atoms and distances in Å follow each position.
Space group F-43m (No. 216)
Symmetry-distinct sites (fractional):
Hf  0.0000  0.0000  0.0000 x4  4 Cu 2.64, 4 Pt 2.64
Cu  0.2500  0.2500  0.2500 x4  4 Hf 2.64, 4 B 2.64
B  0.0000  0.0000  0.5000 x4  4 Cu 2.64, 4 Pt 2.64
Pt  0.2500  0.2500  0.7500 x4  4 Hf 2.64, 4 B 2.64

Results
- crystal system = cubic

=====

Relative stability in eV/atom, measured from the most stable structure: model i 0.000; model ii 0.147; model iii 0.217

=====

Model i:
Material: HfCuTcB
Method: DFT, GGA-PBE
State: optimized geometry

Unit cell a=6.0091 b=6.0091 c=6.0091 alpha=90.00 beta=90.00 gamma=90.00
Closest atoms and distances in Å follow each position.
Space group F-43m (No. 216)
Symmetry-distinct sites (fractional):
Hf  0.0000  0.0000  0.0000 x4  4 Tc 2.60, 4 Cu 2.60
Cu  0.2500  0.2500  0.7500 x4  4 Hf 2.60, 4 B 2.60
Tc  0.2500  0.2500  0.2500 x4  4 Hf 2.60, 4 B 2.60
B  0.0000  0.0000  0.5000 x4  4 Tc 2.60, 4 Cu 2.60

Results
- crystal system = cubic

=====

Model ii:
Material: HfCuTcB
Method: DFT, GGA-PBE
State: optimized geometry

Unit cell a=6.0737 b=6.0737 c=6.0737 alpha=90.00 beta=90.00 gamma=90.00
Closest atoms and distances in Å follow each position.
Space group F-43m (No. 216)
Symmetry-distinct sites (fractional):
Hf  0.0000  0.0000  0.0000 x4  4 Tc 2.63, 4 B 2.63
Cu  0.0000  0.0000  0.5000 x4  4 B 2.63, 4 Tc 2.63
Tc  0.2500  0.2500  0.7500 x4  4 Hf 2.63, 4 Cu 2.63
B  0.2500  0.2500  0.2500 x4  4 Hf 2.63, 4 Cu 2.63

Results
- crystal system = cubic

=====

Relative stability in eV/atom, measured from the most stable structure: model i 0.000; model ii 0.156

=====

Model i:
Material: CuHgB4
Method: DFT, GGA-PBE
State: optimized geometry

Unit cell a=2.9748 b=2.9748 c=9.1038 alpha=90.00 beta=90.00 gamma=120.00
Closest atoms and distances in Å follow each position.
Space group P6/mmm (No. 191)
Symmetry-distinct sites (fractional):
Cu  0.0000  0.0000  0.0000 x1  12 B 2.34
Hg  0.0000  0.0000  0.5000 x1  6 Hg 2.97
B  0.3333  0.6667  0.1745 x4  3 B 1.72

Results
- crystal system = hexagonal

=====

Model ii:
Material: CuHgB4
Method: DFT, GGA-PBE
State: optimized geometry

Unit cell a=3.0402 b=5.2703 c=7.7712 alpha=90.00 beta=90.00 gamma=90.00
Closest atoms and distances in Å follow each position.
Space group Immm (No. 71)
Symmetry-distinct sites (fractional):
Cu  0.0000  0.0000  0.0000 x2  12 B 2.55-2.69
Hg  0.0000  0.0000  0.5000 x2  12 B 2.56-2.68
B  0.0000  0.3344  0.2617 x8  3 B 1.75-1.77

Results
- crystal system = orthorhombic

=====

Relative stability in eV/atom, measured from the most stable structure: model i 0.000; model ii 0.148

=====

Model i:
Material: NbCuHgB
Method: DFT, GGA-PBE
State: optimized geometry

Unit cell a=6.2930 b=6.2930 c=6.2930 alpha=90.00 beta=90.00 gamma=90.00
Closest atoms and distances in Å follow each position.
Space group F-43m (No. 216)
Symmetry-distinct sites (fractional):
Nb  0.0000  0.0000  0.0000 x4  4 Hg 2.72, 4 Cu 2.72
Cu  0.2500  0.2500  0.7500 x4  4 Nb 2.72, 4 B 2.72
Hg  0.2500  0.2500  0.2500 x4  4 Nb 2.72, 4 B 2.72
B  0.0000  0.0000  0.5000 x4  4 Cu 2.72, 4 Hg 2.72

Results
- crystal system = cubic

=====

Model ii:
Material: NbCuHgB
Method: DFT, GGA-PBE
State: optimized geometry

Unit cell a=6.2043 b=6.2043 c=6.2043 alpha=90.00 beta=90.00 gamma=90.00
Closest atoms and distances in Å follow each position.
Space group F-43m (No. 216)
Symmetry-distinct sites (fractional):
Nb  0.0000  0.0000  0.0000 x4  4 Hg 2.69, 4 B 2.69
Cu  0.0000  0.0000  0.5000 x4  4 Hg 2.69, 4 B 2.69
Hg  0.2500  0.2500  0.7500 x4  4 Nb 2.69, 4 Cu 2.69
B  0.2500  0.2500  0.2500 x4  4 Nb 2.69, 4 Cu 2.69

Results
- crystal system = cubic

=====

Relative stability in eV/atom, measured from the most stable structure: model i 0.352; model ii 0.000

=====

Model i:
Material: CuReHgB
Method: DFT, GGA-PBE
State: optimized geometry

Unit cell a=6.0620 b=6.0620 c=6.0620 alpha=90.00 beta=90.00 gamma=90.00
Closest atoms and distances in Å follow each position.
Space group F-43m (No. 216)
Symmetry-distinct sites (fractional):
Cu  0.0000  0.0000  0.0000 x4  4 Hg 2.62, 4 B 2.62
Re  0.0000  0.0000  0.5000 x4  4 Hg 2.62, 4 B 2.62
Hg  0.2500  0.2500  0.2500 x4  4 Re 2.62, 4 Cu 2.62
B  0.2500  0.2500  0.7500 x4  4 Re 2.62, 4 Cu 2.62

Results
- crystal system = cubic

=====

Model ii:
Material: CuReHgB
Method: DFT, GGA-PBE
State: optimized geometry

Unit cell a=6.2272 b=6.2272 c=6.2272 alpha=90.00 beta=90.00 gamma=90.00
Closest atoms and distances in Å follow each position.
Space group F-43m (No. 216)
Symmetry-distinct sites (fractional):
Cu  0.0000  0.0000  0.0000 x4  4 Re 2.70, 4 B 2.70
Re  0.2500  0.2500  0.2500 x4  4 Hg 2.70, 4 Cu 2.70
Hg  0.0000  0.0000  0.5000 x4  4 Re 2.70, 4 B 2.70
B  0.2500  0.2500  0.7500 x4  4 Hg 2.70, 4 Cu 2.70

Results
- crystal system = cubic

=====

Relative stability in eV/atom, measured from the most stable structure: model i 0.000; model ii 0.453

=====

Model i:
Material: ZrCuHgB
Method: DFT, GGA-PBE
State: optimized geometry

Unit cell a=6.3278 b=6.3278 c=6.3278 alpha=90.00 beta=90.00 gamma=90.00
Closest atoms and distances in Å follow each position.
Space group F-43m (No. 216)
Symmetry-distinct sites (fractional):
Zr  0.0000  0.0000  0.0000 x4  4 Hg 2.74, 4 B 2.74
Cu  0.0000  0.0000  0.5000 x4  4 Hg 2.74, 4 B 2.74
Hg  0.2500  0.2500  0.7500 x4  4 Zr 2.74, 4 Cu 2.74
B  0.2500  0.2500  0.2500 x4  4 Zr 2.74, 4 Cu 2.74

Results
- crystal system = cubic

=====

Model ii:
Material: ZrCuHgB
Method: DFT, GGA-PBE
State: optimized geometry

Unit cell a=6.3835 b=6.3835 c=6.3835 alpha=90.00 beta=90.00 gamma=90.00
Closest atoms and distances in Å follow each position.
Space group F-43m (No. 216)
Symmetry-distinct sites (fractional):
Zr  0.0000  0.0000  0.0000 x4  4 Cu 2.76, 4 Hg 2.76
Cu  0.2500  0.2500  0.7500 x4  4 B 2.76, 4 Zr 2.76
Hg  0.2500  0.2500  0.2500 x4  4 Zr 2.76, 4 B 2.76
B  0.0000  0.0000  0.5000 x4  4 Hg 2.76, 4 Cu 2.76

Results
- crystal system = cubic

=====

Relative stability in eV/atom, measured from the most stable structure: model i 0.000; model ii 0.280